A relaxed structure of SrSmHg4, computed with PBE-GGA.

a = 4.425 Å, b = 4.457 Å, c = 9.781 Å
α = 89.99°, β = 89.99°, γ = 90.02°
Fractional coordinates of all 6 atoms:
Hg1 0.501 0.997 0.732
Hg2 0.001 0.497 0.265
Hg3 0.501 0.997 0.264
Hg4 0.001 0.497 0.731
Sm1 0.001 0.997 0.498
Sr1 0.501 0.497 0.998

- Theoretical density: 8.955 Mg/m³
- Energy above the lowest structure with this stoichiometry: 170.8 meV/atom
- Space-group type: Pmmm (47)
- ΔE_f: -0.241 eV per atom

A relaxed structure of SrNb2As, computed with PBE-GGA.

a = 4.604 Å, b = 4.604 Å, c = 10.345 Å
α = 77.14°, β = 77.14°, γ = 90.00°
Fractional coordinates of all 8 atoms:
As1 0.500 0.500 0.000
As2 0.250 0.750 0.500
Nb1 0.875 0.536 0.750
Nb2 0.286 0.125 0.250
Nb3 0.464 0.625 0.250
Nb4 0.375 0.714 0.750
Sr1 0.750 0.250 0.500
Sr2 0.000 0.000 0.000

- Theoretical density: 5.558 Mg/m³
- Space-group type: I-42d (122)
- ΔE_f: 0.315 eV per atom

A relaxed structure of MgNpInHg, computed with PBE-GGA.

a = 5.172 Å, b = 5.172 Å, c = 5.172 Å
α = 60.00°, β = 60.00°, γ = 60.00°
Fractional coordinates of all 4 atoms:
Mg1 0.000 0.000 0.000
Np1 0.500 0.500 0.500
In1 0.750 0.750 0.750
Hg1 0.250 0.250 0.250

- Theoretical density: 9.788 Mg/m³
- Space-group type: F-43m (216)
- ΔE_f: 0.052 eV per atom

A relaxed structure of SrMn3Sb, computed with PBE-GGA.

a = 5.088 Å, b = 5.088 Å, c = 5.088 Å
α = 90.00°, β = 90.00°, γ = 90.00°
Fractional coordinates of all 5 atoms:
Mn1 0.000 0.000 0.500
Mn2 0.000 0.500 0.000
Mn3 0.500 0.000 0.000
Sb1 0.500 0.500 0.500
Sr1 0.000 0.000 0.000

- Energy relative to the elements, uncorrected: 1.83 eV/atom
- Theoretical density: 4.716 Mg/m³
- Energy above the lowest structure with this stoichiometry: 1177.7 meV/atom
- Space-group type: Pm-3m (221)

A relaxed structure of KInBiH, computed with PBE-GGA.

a = 4.709 Å, b = 4.709 Å, c = 7.092 Å
α = 70.62°, β = 70.61°, γ = 60.00°
Fractional coordinates of all 4 atoms:
Bi1 0.468 0.683 0.381
K1 0.268 0.484 0.980
In1 0.743 0.958 0.555
H1 0.649 0.863 0.838

- Theoretical density: 4.804 Mg/m³
- Space-group type: R3m (160)

A relaxed structure of HoTm2AlC, computed with PBE-GGA.

a = 4.855 Å, b = 4.800 Å, c = 4.800 Å
α = 90.00°, β = 90.00°, γ = 90.00°
Fractional coordinates of all 5 atoms:
Al1 0.500 0.500 0.500
C1 0.000 0.000 0.000
Tm1 0.000 0.000 0.500
Tm2 0.000 0.500 0.000
Ho1 0.500 0.000 0.000

- Theoretical density: 8.045 Mg/m³
- Space-group type: P4/mmm (123)
- ΔE_f: -0.438 eV per atom

A relaxed structure of Zr3MnS, computed with PBE-GGA.

a = 4.813 Å, b = 4.813 Å, c = 4.813 Å
α = 90.00°, β = 90.00°, γ = 90.00°
Fractional coordinates of all 5 atoms:
Zr1 0.000 0.500 0.000
Zr2 0.500 0.000 0.000
Zr3 0.000 0.000 0.500
Mn1 0.500 0.500 0.500
S1 0.000 0.000 0.000

- Energy relative to the elements, uncorrected: -0.24 eV/atom
- Theoretical density: 5.373 Mg/m³
- Energy above the lowest structure with this stoichiometry: 0.0 meV/atom
- Space-group type: Pm-3m (221)

A relaxed structure of NdHoPt, computed with PBE-GGA.

a = 4.766 Å, b = 4.764 Å, c = 7.166 Å
α = 92.69°, β = 92.47°, γ = 90.12°
Fractional coordinates of all 6 atoms:
Pt1 0.287 0.338 0.695
Pt2 0.840 0.895 0.144
Ho1 0.318 0.861 0.919
Ho2 0.809 0.372 0.920
Nd1 0.307 0.360 0.300
Nd2 0.820 0.873 0.539

- Theoretical density: 10.316 Mg/m³
- Energy above the lowest structure with this stoichiometry: 20.4 meV/atom
- Space-group type: P-1 (2)
- ΔE_f: -0.845 eV per atom

A relaxed structure of HoThSbPb, computed with PBE-GGA.

a = 4.501 Å, b = 4.501 Å, c = 7.676 Å
α = 72.95°, β = 72.95°, γ = 60.00°
Fractional coordinates of all 4 atoms:
Pb1 0.691 0.691 0.927
Ho1 0.944 0.944 0.168
Sb1 0.197 0.197 0.408
Th1 0.444 0.444 0.667

- Energy relative to the elements, uncorrected: -0.67 eV/atom
- Theoretical density: 9.511 Mg/m³
- Space-group type: R3m (160)

A relaxed structure of SrHgRu, computed with PBE-GGA.

a = 3.550 Å, b = 3.550 Å, c = 6.876 Å
α = 90.00°, β = 90.00°, γ = 120.00°
Fractional coordinates of all 3 atoms:
Ru1 0.667 0.333 0.321
Hg1 0.000 0.000 0.038
Sr1 0.333 0.667 0.642

- Theoretical density: 8.615 Mg/m³
- Energy above the lowest structure with this stoichiometry: 360.7 meV/atom
- Space-group type: P3m1 (156)
- ΔE_f: 0.611 eV per atom

A relaxed structure of Tm4SiTe3, computed with PBE-GGA.

a = 4.218 Å, b = 7.415 Å, c = 7.415 Å
α = 109.04°, β = 90.00°, γ = 90.00°
Fractional coordinates of all 8 atoms:
Te1 0.500 0.500 0.500
Te2 0.000 0.500 0.000
Te3 0.000 0.000 0.500
Tm1 0.000 0.219 0.219
Tm2 0.000 0.781 0.781
Tm3 0.500 0.230 0.770
Tm4 0.500 0.770 0.230
Si1 0.500 0.000 0.000

- Energy relative to the elements, uncorrected: -1.17 eV/atom
- Theoretical density: 8.229 Mg/m³
- Space-group type: Cmmm (65)

A relaxed structure of BaLi2La, computed with PBE-GGA.

a = 4.045 Å, b = 4.045 Å, c = 8.604 Å
α = 90.00°, β = 90.00°, γ = 90.00°
Fractional coordinates of all 4 atoms:
La1 0.500 0.500 0.750
Li1 0.000 0.000 0.966
Li2 0.000 0.000 0.534
Ba1 0.500 0.500 0.250

- Theoretical density: 3.423 Mg/m³
- Energy above the lowest structure with this stoichiometry: 20.7 meV/atom
- Space-group type: P4/mmm (123)
- ΔE_f: 0.138 eV per atom

no.,uncorrected energy (eV/atom)
1,-1.51
2,-6.30
3,-4.34
4,-4.83
5,-2.97
6,-5.74
7,-8.03
8,-5.97
9,-5.63
10,-3.14
11,-5.27
12,-2.53